CaAl2Fe2: optimized geometry, PBE-GGA.

Properties
E_form = -0.127 eV per formula unit
Fermi-level density of states = 0.82 states/eV per atom
Total DFT energy (no corrections) = -53.08 eV per cell

Cell: 7.518 7.518 2.742 Å, 90.00 90.00 90.00°
Each line ends with the local moment (μB).
Atoms (fractional coordinates):
Al: 0.629 0.129 0.000  -0.05
Al: 0.871 0.629 0.000  -0.05
Al: 0.371 0.871 0.000  -0.05
Al: 0.129 0.371 0.000  -0.05
Fe: 0.840 0.340 0.500  1.72
Fe: 0.340 0.160 0.500  1.74
Fe: 0.160 0.660 0.500  1.72
Fe: 0.660 0.840 0.500  1.74
Ca: 0.000 0.000 0.000  -0.09
Ca: 0.500 0.500 0.000  -0.09

=====

Li2InHgF8: optimized geometry, PBE-GGA.

Properties
Fermi-level density of states = 0.67 states/eV per atom
Formation energy from raw total energies = -2513 kJ/mol of formula units
Total DFT energy (no corrections) = -47.88 eV per cell

Cell: 5.938 5.938 5.938 Å, 110.83 110.83 106.78°
Atoms (fractional coordinates):
Li: 0.500 0.500 0.000
Li: 0.750 0.250 0.500
F: 0.293 0.475 0.182
F: 0.525 0.707 0.818
F: 0.364 0.062 0.302
F: 0.293 0.111 0.818
F: 0.938 0.241 0.302
F: 0.889 0.707 0.182
F: 0.759 0.062 0.698
F: 0.938 0.636 0.698
Hg: 0.250 0.750 0.500
In: 0.000 0.000 0.000

=====

Pm3Er2Mg7: optimized geometry, PBE-GGA.

Properties
E_form = 1.035 eV per formula unit
Fermi-level density of states = 1.07 states/eV per atom
Total DFT energy (no corrections) = -33.50 eV per cell

Cell: 5.200 5.144 13.225 Å, 101.21 90.00 90.00°
Atoms (fractional coordinates):
Er: 0.000 0.856 0.712
Er: 0.000 0.144 0.288
Pm: 0.500 0.663 0.326
Pm: 0.500 0.337 0.674
Pm: 0.500 0.500 0.000
Mg: 0.000 0.000 0.000
Mg: 0.000 0.426 0.853
Mg: 0.000 0.269 0.538
Mg: 0.000 0.574 0.147
Mg: 0.500 0.926 0.852
Mg: 0.000 0.731 0.462
Mg: 0.500 0.074 0.148

=====

BeCuH2Cl: optimized geometry, PBE-GGA.

Properties
Fermi-level density of states = 0.23 states/eV per atom
Total DFT energy (no corrections) = -12.90 eV per cell

Cell: 3.189 3.189 7.283 Å, 90.00 90.00 90.00°
Atoms (fractional coordinates):
Cl: 0.000 0.000 0.000
Be: 0.000 0.000 0.500
H: 0.500 0.000 0.000
H: 0.000 0.500 0.000
Cu: 0.500 0.500 0.500

=====

Cs2RbCdF5: optimized geometry, PBE-GGA.

Properties
Fermi-level density of states = 0.00 states/eV per atom
Formation energy from raw total energies = -2195 kJ/mol of formula units
Total DFT energy (no corrections) = -35.70 eV per cell

Cell: 4.475 6.668 8.090 Å, 114.34 106.06 90.00°
Atoms (fractional coordinates):
F: 0.000 0.000 0.000
F: 0.384 0.644 0.768
F: 0.384 0.124 0.768
F: 0.616 0.876 0.232
F: 0.616 0.356 0.232
Cs: 0.214 0.214 0.428
Cs: 0.786 0.786 0.572
Cd: 0.500 0.000 0.000
Rb: 0.000 0.500 0.000

=====

LaGa2Pt: optimized geometry, PBE-GGA.

Properties
E_form = -2.354 eV per formula unit
Fermi-level density of states = 0.70 states/eV per atom
Total DFT energy (no corrections) = -38.75 eV per cell

Cell: 4.692 4.692 9.465 Å, 75.65 75.65 90.00°
Atoms (fractional coordinates):
Pt: 0.000 0.000 0.000
Pt: 0.750 0.250 0.500
La: 0.500 0.500 0.000
La: 0.250 0.750 0.500
Ga: 0.375 0.207 0.750
Ga: 0.957 0.625 0.250
Ga: 0.875 0.043 0.750
Ga: 0.793 0.125 0.250